(1)
Computed, not measured: an optimized crystal structure of NdLuIn2 at the PBE-GGA level of DFT.

It has space group R-3m (No. 166, hexagonal axes), with a = 3.6888 Å, b = 3.6888 Å, c = 29.5757 Å, α = 90.00°, β = 90.00° and γ = 120.00°. Symmetry generates all atoms from Nd at (0.0000, 0.0000, 0.0000), Lu at (0.0000, 0.0000, 0.5000) and In at (0.0000, 0.0000, 0.2466).

The total magnetic moment is 0.000 μB per atom. The excess energy over the best structure of this formula in the dataset is 0.161 eV/atom. The calculated formation energy is -0.2907 eV per atom.


(2)
Computed, not measured: an optimized crystal structure of NdLuIn2 at the PBE-GGA level of DFT.

It has space group P4/mmm (No. 123), with a = 4.933 Å, b = 4.933 Å, c = 4.451 Å, α = 90.00°, β = 90.00° and γ = 90.00°. Symmetry generates all atoms from Nd at (0.000, 0.000, 0.000), Lu at (0.500, 0.500, 0.000) and In at (0.000, 0.500, 0.500).

The total magnetic moment is 0.001 μB per atom. The excess energy over the best structure of this formula in the dataset is 0.010 eV/atom. The calculated formation energy is -0.4423 eV per atom.